Here is Pm2DyHoEr4 after structural relaxation from Alexandria via LeMat-Bulk. Energies are from GGA-PBE.

Cell and atoms, written as POSCAR:
```
Pm2DyHoEr4
1.0
-3.389 5.870 6.617
3.389 -5.870 6.617
3.389 5.870 -6.617
Pm Dy Ho Er
4 2 2 8
Cartesian
0.000 0.000 0.000
-1.695 2.935 3.309
0.000 5.870 0.000
1.695 2.935 3.309
3.389 0.000 0.000
0.000 0.000 6.617
1.695 2.935 -3.309
1.695 -2.935 3.309
3.389 -0.032 3.291
1.702 2.935 -0.035
5.077 2.935 -0.035
3.389 5.838 -3.291
0.000 0.032 9.909
-1.688 2.935 6.653
1.688 2.935 6.653
0.000 5.903 3.326
```

Summary:
Energy relative to the elements (eV per atom): 0.4359
Fermi-level density of states (states/eV/f.u.): 17.2
Spin magnetization (μB/atom): 0.39



Here is Pm4DyHo2Er after structural relaxation from Alexandria via LeMat-Bulk. Energies are from GGA-PBE.

Cell and atoms, written as POSCAR:
```
Pm4DyHo2Er
1.0
6.217 0.000 0.000
0.000 3.597 0.000
-2.097 0.000 11.636
Pm Dy Ho Er
4 1 2 1
Cartesian
1.028 0.000 2.902
-0.017 1.798 8.733
4.137 1.798 2.903
3.092 0.000 8.734
-1.048 0.000 5.818
3.108 0.000 0.000
2.060 1.798 5.818
0.000 1.798 0.000
```

Summary:
Energy relative to the elements (eV per atom): 0.0160
Fermi-level density of states (states/eV/f.u.): 10.4
Spin magnetization (μB/atom): 0.00



Here is PmDyHo2Er after structural relaxation from Alexandria via LeMat-Bulk. Energies are from GGA-PBE.

Cell and atoms, written as POSCAR:
```
PmDyHo2Er
1.0
4.180 -5.707 0.000
4.180 5.707 0.000
0.000 0.000 7.179
Pm Dy Ho Er
2 2 4 2
Cartesian
4.180 3.122 5.384
4.180 -3.122 1.795
4.180 0.028 5.384
4.180 -0.028 1.795
1.586 0.000 0.000
1.586 0.000 3.589
6.774 0.000 0.000
6.774 0.000 3.589
4.180 3.160 1.795
4.180 -3.160 5.384
```

Summary:
Energy relative to the elements (eV per atom): 0.3931
Fermi-level density of states (states/eV/f.u.): 7.2
Spin magnetization (μB/atom): 0.00



Here is Pm3Dy2HoEr6 after structural relaxation from Alexandria via LeMat-Bulk. Energies are from GGA-PBE.

Cell and atoms, written as POSCAR:
```
Pm3Dy2HoEr6
1.0
3.078 -5.326 0.000
3.078 5.326 0.000
-2.044 0.000 11.539
Pm Dy Ho Er
3 2 1 6
Cartesian
0.000 0.000 0.000
3.078 1.775 0.000
3.078 -1.775 0.000
2.055 3.551 5.770
2.055 -3.551 5.770
2.055 0.000 5.770
1.029 1.775 2.918
0.005 0.000 8.620
1.029 -1.775 2.918
3.082 1.775 8.621
4.106 0.000 2.919
3.082 -1.775 8.621
```

Summary:
Energy relative to the elements (eV per atom): 0.0191
Fermi-level density of states (states/eV/f.u.): 15.5
Spin magnetization (μB/atom): 0.00



Raw total energy (eV per atom)
-4.18 -4.65 -4.22 -4.60